Record 1
La2TcAs2: relaxed, PBE-GGA.

a b c (Å): 8.167 8.167 3.913
angles (deg): 90.00 90.00 90.00
Space group P4/mbm (No. 127)
One atom of each set of equivalent atoms:
La1 0.143 0.357 0.000 (multiplicity 4)
Tc1 0.000 0.000 0.000 (multiplicity 2)
As1 0.167 0.667 0.500 (multiplicity 4)

## Properties
Excess energy over the best structure of this formula in the dataset ... 0.640 eV/atom
Volume ... 261 Å³/cell
Crystal system ... tetragonal
Spin magnetization ... 2.906 μB/f.u.
Calculated density ... 6.69 Mg/m³



Record 2
Sr2Mg3Au2: relaxed, PBE-GGA.

a b c (Å): 11.427 4.488 8.089
angles (deg): 90.00 115.60 90.00
Space group C2/m (No. 12)
One atom of each set of equivalent atoms:
Sr1 0.139 0.000 0.281 (multiplicity 4)
Mg1 0.000 0.500 0.500 (multiplicity 2)
Mg2 0.142 0.500 0.933 (multiplicity 4)
Au1 0.146 0.000 0.714 (multiplicity 4)

## Properties
Volume ... 374 Å³/cell
Total energy ... -2.63 eV/atom
Crystal system ... monoclinic
Spin magnetization ... 0.000 μB/f.u.
Calculated density ... 5.70 Mg/m³